[1]
Compound: Cd2GeSbAs
Source: Alexandria
Functional: GGA-PBEsol
Structure: relaxed

Space-group type: P4/mmm
Calculated volume in Å³/f.u.: 131.24
Formation energy from raw total energies in eV per atom: 0.585
Total magnetization in Bohr magnetons per cell: 0.00
Calculated total energy in eV/atom: -2.814

Lattice parameters (Å, degrees): 4.922 4.922 5.417 90.00 90.00 90.00
Positions (direct):
Cd  0.000  0.500  0.000
Cd  0.500  0.000  0.000
Ge  0.000  0.000  0.000
Sb  0.000  0.000  0.500
As  0.500  0.500  0.500

=====

[2]
Compound: Mn2TlPb
Source: Alexandria
Functional: GGA-PBEsol
Structure: relaxed

Space-group type: I4/mmm
ΔE_f in kJ/mol of formula units: 239
Calculated volume in Å³/f.u.: 77.28
Total magnetization in Bohr magnetons per cell: 7.30
Calculated total energy in eV/atom: -5.918

Lattice parameters (Å, degrees): 5.020 5.020 5.020 127.49 127.49 77.46
Positions (direct):
Mn  0.250  0.750  0.500
Mn  0.750  0.250  0.500
Tl  0.000  0.000  0.000
Pb  0.500  0.500  0.000

=====

[3]
Compound: CoTcNi2I
Source: Alexandria
Functional: GGA-PBEsol
Structure: relaxed

Space-group type: P4/mmm
Calculated volume in Å³/f.u.: 90.20
Formation energy from raw total energies in eV per atom: 1.719
Total magnetization in Bohr magnetons per cell: 4.75
Calculated total energy in eV/atom: -4.899

Lattice parameters (Å, degrees): 4.483 4.483 4.487 90.00 90.00 90.00
Positions (direct):
Co  0.000  0.000  0.000
Tc  0.500  0.500  0.000
Ni  0.000  0.500  0.500
Ni  0.500  0.000  0.500
I  0.000  0.000  0.500

=====

[4]
Compound: TaSiGe
Source: Alexandria
Functional: GGA-PBEsol
Structure: relaxed

Space-group type: P3_212
Calculated volume in Å³/f.u.: 45.12
Formation energy from raw total energies in eV per atom: -0.424
Total magnetization in Bohr magnetons per cell: 0.00
Calculated total energy in eV/atom: -8.169

Lattice parameters (Å, degrees): 4.847 4.847 6.654 90.00 90.00 120.00
Positions (direct):
Ta  0.169  0.338  0.333
Ta  0.169  0.831  0.667
Ta  0.662  0.831  0.000
Si  0.505  0.011  0.333
Si  0.505  0.495  0.667
Si  0.989  0.495  0.000
Ge  0.342  0.171  0.000
Ge  0.829  0.171  0.667
Ge  0.829  0.658  0.333

=====

[5]
Compound: YTaPt3
Source: Alexandria
Functional: GGA-PBEsol
Structure: relaxed

Space-group type: Pm-3m
ΔE_f in kJ/mol of formula units: 35
Calculated volume in Å³/f.u.: 112.65
Total magnetization in Bohr magnetons per cell: 0.00
Calculated total energy in eV/atom: -7.981

Lattice parameters (Å, degrees): 4.830 4.830 4.830 90.00 90.00 90.00
Positions (direct):
Y  0.000  0.000  0.000
Ta  0.500  0.500  0.500
Pt  0.000  0.500  0.500
Pt  0.500  0.000  0.500
Pt  0.500  0.500  0.000

=====

[6]
Compound: CaFe2Ni
Source: Alexandria
Functional: GGA-PBEsol
Structure: relaxed

Space-group type: P4mm
ΔE_f in kJ/mol of formula units: 126
Calculated volume in Å³/f.u.: 58.92
Total magnetization in Bohr magnetons per cell: 5.03
Calculated total energy in eV/atom: -6.227

Lattice parameters (Å, degrees): 2.993 2.993 6.578 90.00 90.00 90.00
Positions (direct):
Ca  0.000  0.000  0.000
Fe  0.000  0.000  0.500
Fe  0.500  0.500  0.325
Ni  0.500  0.500  0.694

=====

[7]
Compound: Cs2Au2Se3
Source: Alexandria
Functional: GGA-PBEsol
Structure: relaxed

Space-group type: C2/c
Calculated volume in Å³/f.u.: 229.24
Formation energy from raw total energies in eV per atom: -0.636
Total magnetization in Bohr magnetons per cell: 0.00
Calculated total energy in eV/atom: -3.677

Lattice parameters (Å, degrees): 8.203 8.203 7.227 90.16 90.16 109.49
Positions (direct):
Cs  0.124  0.336  0.369
Cs  0.336  0.124  0.869
Cs  0.664  0.876  0.131
Cs  0.876  0.664  0.631
Au  0.225  0.631  0.954
Au  0.369  0.775  0.546
Au  0.631  0.225  0.454
Au  0.775  0.369  0.046
Se  0.046  0.722  0.168
Se  0.278  0.954  0.332
Se  0.430  0.570  0.750
Se  0.570  0.430  0.250
Se  0.722  0.046  0.668
Se  0.954  0.278  0.832

=====

[8]
Compound: FeMoPt2
Source: Alexandria
Functional: GGA-PBEsol
Structure: relaxed

Space-group type: P4/mmm
ΔE_f in kJ/mol of formula units: -102
Calculated volume in Å³/f.u.: 56.49
Total magnetization in Bohr magnetons per cell: 3.29
Calculated total energy in eV/atom: -8.930

Lattice parameters (Å, degrees): 2.706 2.706 7.716 90.00 90.00 90.00
Positions (direct):
Fe  0.000  0.000  0.000
Mo  0.000  0.000  0.500
Pt  0.500  0.500  0.243
Pt  0.500  0.500  0.757

=====

[9]
Compound: EuZn2
Source: Alexandria
Functional: GGA-PBEsol
Structure: relaxed

Space-group type: Imma
ΔE_f in kJ/mol of formula units: -90
Calculated volume in Å³/f.u.: 61.80
Total magnetization in Bohr magnetons per cell: 14.27
Calculated total energy in eV/atom: -4.886

Lattice parameters (Å, degrees): 5.684 5.684 5.684 132.72 99.73 98.78
Positions (direct):
Eu  0.303  0.053  0.250
Eu  0.697  0.947  0.750
Zn  0.098  0.663  0.435
Zn  0.271  0.337  0.935
Zn  0.729  0.663  0.065
Zn  0.902  0.337  0.565

=====

[10]
Compound: SrAs2
Source: Alexandria
Functional: GGA-PBEsol
Structure: relaxed

Space-group type: Imma
ΔE_f in kJ/mol of formula units: -204
Calculated volume in Å³/f.u.: 76.87
Total magnetization in Bohr magnetons per cell: 0.00
Calculated total energy in eV/atom: -4.724

Lattice parameters (Å, degrees): 8.595 8.595 8.595 152.24 148.59 42.40
Positions (direct):
Sr  0.377  0.127  0.250
Sr  0.623  0.873  0.750
As  0.061  0.311  0.750
As  0.219  0.469  0.750
As  0.781  0.531  0.250
As  0.939  0.689  0.250

=====

[11]
Compound: Zn2ReCl
Source: Alexandria
Functional: GGA-PBEsol
Structure: relaxed

Space-group type: P4mm
Calculated volume in Å³/f.u.: 64.03
Relative energy among the computed polymorphs in meV/atom: 342
Formation energy from raw total energies in eV per atom: 0.495
Total magnetization in Bohr magnetons per cell: 0.00
Calculated total energy in eV/atom: -4.131

Lattice parameters (Å, degrees): 2.849 2.849 7.890 90.00 90.00 90.00
Positions (direct):
Zn  0.000  0.000  0.000
Zn  0.500  0.500  0.226
Re  0.500  0.500  0.776
Cl  0.000  0.000  0.578

=====

[12]
Compound: NiHCSe2
Source: Alexandria
Functional: GGA-PBEsol
Structure: relaxed

Space-group type: P4/mmm
Calculated volume in Å³/f.u.: 55.01
Total magnetization in Bohr magnetons per cell: 0.00
Calculated total energy in eV/atom: -4.697

Lattice parameters (Å, degrees): 4.447 4.447 2.782 90.00 90.00 90.00
Positions (direct):
Ni  0.000  0.000  0.000
H  0.500  0.500  0.000
C  0.500  0.500  0.500
Se  0.000  0.500  0.500
Se  0.500  0.000  0.500